A) Material: Zr2ScCo2
Method: DFT, PBE-GGA
State: optimized geometry

```
10
Lattice="-3.625 3.525 0.850 -5.064 -1.067 -1.706 -2.980 -4.338 5.283" Properties=species:S:1:pos:R:3 pbc="T T T"
Sc -10.329 -1.373 2.967
Sc -1.340 -0.506 1.460
Zr -7.271 -1.829 2.692
Zr -6.909 1.438 0.315
Zr -4.760 -3.318 4.112
Zr -4.398 -0.051 1.735
Co -8.750 0.544 2.283
Co -2.919 -2.424 2.144
Co -4.700 0.223 -0.959
Co -6.969 -2.103 5.387
```

Total moment   0.00 μB per formula unit

B) Material: Zr2ScCo2
Method: DFT, PBE-GGA
State: optimized geometry

```
10
Lattice="-2.583 6.866 -2.209 -6.037 -0.773 4.654 1.529 1.282 2.196" Properties=species:S:1:pos:R:3 pbc="T T T"
Zr -6.114 5.345 1.136
Zr -6.049 1.755 3.186
Zr -2.571 4.337 -0.742
Zr -2.506 0.747 1.308
Co -3.545 1.167 3.791
Co -1.044 2.929 1.022
Co -3.545 6.208 0.849
Co -6.046 4.445 3.619
Sc 0.000 0.000 0.000
Sc -4.310 3.046 1.222
```

Total moment   0.00 μB per formula unit

It is B) that is the least stable of them.

A) Material: ZrSc3Co2
Method: DFT, PBE-GGA
State: optimized geometry

```
12
Lattice="-5.050 -3.422 -0.703 0.863 -2.474 5.840 -1.319 7.485 -0.142" Properties=species:S:1:pos:R:3 pbc="T T T"
Co -3.588 2.549 1.610
Co -4.563 -1.224 0.156
Co -0.942 2.812 4.838
Co -1.917 -0.960 3.385
Sc -0.967 0.292 5.529
Sc -1.399 1.529 2.608
Sc -2.309 -2.330 1.108
Sc -4.106 0.060 2.386
Sc -4.538 1.297 -0.534
Sc -1.878 -3.567 4.029
Zr 0.432 -1.237 2.920
Zr 0.000 0.000 0.000
```

Total moment   0.00 μB per formula unit

B) Material: ZrSc3Co2
Method: DFT, PBE-GGA
State: optimized geometry

```
12
Lattice="-0.858 -3.689 2.158 5.375 0.701 3.335 -3.967 4.152 5.523" Properties=species:S:1:pos:R:3 pbc="T T T"
Co 2.735 1.986 4.483
Co -1.150 2.890 4.483
Co 0.188 2.151 8.156
Co 0.186 -1.011 2.749
Sc 4.950 1.040 3.746
Sc -2.958 1.716 6.161
Sc 1.941 3.391 6.570
Sc 2.373 -0.700 4.149
Sc 0.619 1.612 3.002
Sc -1.034 4.140 6.667
Zr 0.043 0.922 5.997
Zr -2.015 -0.087 3.453
```

Total moment   0.00 μB per formula unit

It is A) that is the least stable of them.

A) Material: Co3Se
Method: DFT, PBE-GGA
State: optimized geometry

```
4
Lattice="-0.799 -1.183 2.446 3.062 -1.229 0.405 1.398 4.323 2.547" Properties=species:S:1:pos:R:3 pbc="T T T"
Co 2.160 1.975 3.301
Co 1.501 -0.065 2.098
Co 0.699 2.161 1.274
Se 0.000 0.000 0.000
```

Total moment   3.83 μB per formula unit

B) Material: Co3Se
Method: DFT, PBE-GGA
State: optimized geometry

```
4
Lattice="4.447 -0.010 0.000 1.489 4.190 0.000 -2.968 -2.090 2.568" Properties=species:S:1:pos:R:3 pbc="T T T"
Co 2.223 -0.005 1.284
Co 0.745 2.095 1.284
Co 2.968 2.090 0.000
Se 0.000 0.000 0.000
```

Total moment   4.14 μB per formula unit

It is A) that is the least stable of them.

A) Material: Co3Se4
Method: DFT, PBE-GGA
State: optimized geometry

```
14
Lattice="-4.853 -3.895 -3.118 0.904 -2.075 -6.583 1.281 -6.698 -1.394" Properties=species:S:1:pos:R:3 pbc="T T T"
Se 0.371 -7.446 -6.802
Se -2.429 -8.366 -4.945
Se -3.030 -5.218 -4.291
Se -0.146 -6.535 -3.480
Se -0.710 -3.197 -2.658
Se -1.949 -9.466 -8.435
Se -0.230 -4.295 -6.147
Se -2.510 -6.128 -7.613
Co -4.209 -7.241 -3.814
Co -1.328 -6.331 -5.547
Co 0.124 -2.618 -4.676
Co -1.140 -8.642 -2.952
Co -1.781 -5.295 -2.255
Co -2.781 -10.044 -6.416
```

Total moment   0.00 μB per formula unit

B) Material: Co3Se4
Method: DFT, PBE-GGA
State: optimized geometry

```
7
Lattice="6.340 0.003 0.003 3.180 5.297 0.001 1.008 0.603 3.380" Properties=species:S:1:pos:R:3 pbc="T T T"
Se 3.166 4.139 2.106
Se 7.362 1.765 1.279
Se 6.406 4.722 2.930
Se 4.122 1.182 0.454
Co 7.544 4.074 0.812
Co 5.264 2.952 1.692
Co 2.983 1.830 2.572
```

Total moment   0.96 μB per formula unit

It is B) that is the least stable of them.

A) Material: CoSe3
Method: DFT, PBE-GGA
State: optimized geometry

```
4
Lattice="-1.876 -0.505 4.315 -2.430 -3.774 -1.498 3.601 -2.810 1.237" Properties=species:S:1:pos:R:3 pbc="T T T"
Se 1.800 -1.405 0.618
Se -0.938 -0.252 2.157
Se -1.215 -1.887 -0.749
Co 0.000 0.000 0.000
```

Total moment   2.17 μB per formula unit

B) Material: CoSe3
Method: DFT, PBE-GGA
State: optimized geometry

```
4
Lattice="2.834 -0.001 0.000 -0.071 2.833 0.000 0.000 0.000 9.883" Properties=species:S:1:pos:R:3 pbc="T T T"
Co 0.000 0.000 0.000
Se 1.382 1.416 1.569
Se 0.000 0.000 4.942
Se 1.382 1.416 8.314
```

Total moment   0.00 μB per formula unit

It is A) that is the least stable of them.

A) Material: Co5Se
Method: DFT, PBE-GGA
State: optimized geometry

```
6
Lattice="-4.251 0.708 -2.171 -2.741 -0.684 -3.912 -3.207 -4.894 1.133" Properties=species:S:1:pos:R:3 pbc="T T T"
Co -6.691 -3.192 -3.250
Co -0.134 -0.043 -0.082
Co -5.148 -1.418 -3.330
Co -3.366 -1.628 -1.617
Co -8.520 -2.936 -5.040
Se -5.038 -4.583 -0.704
```

Total moment   7.90 μB per formula unit

B) Material: Co5Se
Method: DFT, PBE-GGA
State: optimized geometry

```
6
Lattice="2.987 0.000 0.000 0.000 2.987 0.000 0.000 0.000 8.072" Properties=species:S:1:pos:R:3 pbc="T T T"
Co 1.493 1.493 2.819
Co 0.000 0.000 1.437
Co 0.000 0.000 6.635
Co 0.000 0.000 4.036
Co 1.493 1.493 5.253
Se 1.493 1.493 0.000
```

Total moment   7.93 μB per formula unit

C) Material: Co5Se
Method: DFT, PBE-GGA
State: optimized geometry

```
6
Lattice="3.710 0.761 -2.286 -3.931 0.263 -2.012 -0.225 3.981 0.960" Properties=species:S:1:pos:R:3 pbc="T T T"
Co -0.076 0.352 -1.476
Co -2.581 0.173 -1.321
Co 1.051 2.586 -1.714
Co -1.496 2.420 -1.623
Co 2.436 0.500 -1.501
Se -0.113 1.990 0.480
```

Total moment   7.29 μB per formula unit

It is B) that is the least stable of them.

A) Material: CoSe4
Method: DFT, PBE-GGA
State: optimized geometry

```
5
Lattice="4.660 0.000 0.000 0.000 4.660 0.000 0.000 0.000 4.660" Properties=species:S:1:pos:R:3 pbc="T T T"
Se 2.330 0.000 2.330
Se 0.000 0.000 0.000
Se 0.000 2.330 2.330
Se 2.330 2.330 0.000
Co 2.330 2.330 2.330
```

Total moment   0.00 μB per formula unit

B) Material: CoSe4
Method: DFT, PBE-GGA
State: optimized geometry

```
5
Lattice="-2.940 2.940 2.940 2.940 -2.940 2.940 2.940 2.940 -2.940" Properties=species:S:1:pos:R:3 pbc="T T T"
Se 1.470 -1.470 1.470
Se -1.470 1.470 1.470
Se 1.470 1.470 -1.470
Se 1.470 1.470 1.470
Co 0.000 0.000 0.000
```

Total moment   0.20 μB per formula unit

It is A) that is the least stable of them.

A) Material: Co2SiSe
Method: DFT, PBE-GGA
State: optimized geometry

```
4
Lattice="-2.358 1.046 1.028 -1.408 -1.042 -2.170 -1.040 -5.694 3.408" Properties=species:S:1:pos:R:3 pbc="T T T"
Co -1.332 -5.629 2.670
Co -0.931 -3.433 1.356
Si -3.015 -4.529 1.442
Se -1.791 -1.161 0.823
```

Total moment   0.00 μB per formula unit

B) Material: Co2SiSe
Method: DFT, PBE-GGA
State: optimized geometry

```
4
Lattice="-1.843 2.467 2.796 -0.037 4.120 -0.565 -3.555 1.936 -0.957" Properties=species:S:1:pos:R:3 pbc="T T T"
Co -1.358 2.131 0.318
Co -4.075 6.392 0.955
Si 0.000 0.000 0.000
Se -2.717 4.262 0.637
```

Total moment   1.92 μB per formula unit

C) Material: Co2SiSe
Method: DFT, PBE-GGA
State: optimized geometry

```
4
Lattice="-5.860 -3.930 -2.046 -3.601 -5.888 -2.518 -4.778 -5.574 0.253" Properties=species:S:1:pos:R:3 pbc="T T T"
Co -0.069 -0.074 -0.021
Co -3.508 -3.792 -1.062
Si -10.503 -11.354 -3.180
Se -7.279 -7.868 -2.204
```

Total moment   1.24 μB per formula unit

D) Material: Co2SiSe
Method: DFT, PBE-GGA
State: optimized geometry

```
4
Lattice="-1.702 1.482 3.567 -2.583 -2.440 2.279 1.270 -1.511 3.731" Properties=species:S:1:pos:R:3 pbc="T T T"
Si -0.754 -0.617 2.394
Se -1.507 -1.234 4.789
Co -2.261 -1.851 7.183
Co 0.000 0.000 0.000
```

Total moment   1.99 μB per formula unit

It is D) that is the least stable of them.

A) Material: Co2SiSe
Method: DFT, PBE-GGA
State: optimized geometry

```
4
Lattice="-2.018 -4.616 -0.474 0.599 -2.755 -4.202 2.364 2.494 3.714" Properties=species:S:1:pos:R:3 pbc="T T T"
Co -0.037 -0.191 -0.121
Co -0.155 -2.766 0.538
Se -0.720 -3.740 -2.373
Si 1.148 -1.865 -1.344
```

Total moment   0.00 μB per formula unit

B) Material: Co2SiSe
Method: DFT, PBE-GGA
State: optimized geometry

```
4
Lattice="4.157 0.000 0.000 0.000 4.157 0.000 0.000 0.000 2.893" Properties=species:S:1:pos:R:3 pbc="T T T"
Si 0.000 2.079 1.446
Co 0.000 0.000 0.000
Co 2.079 2.079 0.000
Se 2.079 0.000 1.446
```

Total moment   1.10 μB per formula unit

It is A) that is the least stable of them.

A) Material: Co2SiSe
Method: DFT, PBE-GGA
State: optimized geometry

```
4
Lattice="-0.338 4.153 -6.199 1.874 2.483 -6.790 -0.764 1.561 -7.264" Properties=species:S:1:pos:R:3 pbc="T T T"
Se 0.193 2.049 -5.063
Co 0.383 4.063 -10.038
Co 0.003 0.036 -0.088
Si 0.579 6.147 -15.189
```

Total moment   0.77 μB per formula unit

B) Material: Co2SiSe
Method: DFT, PBE-GGA
State: optimized geometry

```
4
Lattice="-2.990 2.997 -1.200 -0.593 -1.561 -2.420 -2.763 -1.976 1.952" Properties=species:S:1:pos:R:3 pbc="T T T"
Si -4.133 -1.382 -1.221
Co -3.261 -3.327 -0.181
Co -2.428 0.405 -1.006
Se -1.559 -1.541 0.037
```

Total moment   0.00 μB per formula unit

It is A) that is the least stable of them.

A) Material: Co2SiSe
Method: DFT, PBE-GGA
State: optimized geometry

```
4
Lattice="-0.815 3.527 0.995 -2.508 1.703 2.215 2.959 0.528 4.894" Properties=species:S:1:pos:R:3 pbc="T T T"
Se -0.091 1.440 2.026
Si -0.273 4.319 6.078
Co 0.001 2.886 4.316
Co 2.776 0.521 4.630
```

Total moment   1.10 μB per formula unit

B) Material: Co2SiSe
Method: DFT, PBE-GGA
State: optimized geometry

```
8
Lattice="4.977 0.000 0.000 0.000 4.977 0.000 2.489 2.489 5.550" Properties=species:S:1:pos:R:3 pbc="T T T"
Si 2.489 2.489 0.000
Si 2.489 4.977 2.775
Co 1.292 3.733 1.388
Co 6.221 6.174 4.163
Co 3.733 3.780 4.163
Co 3.685 1.244 1.388
Se 0.000 0.000 0.000
Se 4.977 2.489 2.775
```

Total moment   0.00 μB per formula unit

C) Material: Co2SiSe
Method: DFT, PBE-GGA
State: optimized geometry

```
4
Lattice="2.793 0.000 0.000 0.000 2.795 0.000 0.000 0.000 6.435" Properties=species:S:1:pos:R:3 pbc="T T T"
Si 1.396 1.398 4.826
Se 1.396 1.398 1.609
Co 0.000 0.000 6.146
Co 0.000 0.000 3.506
```

Total moment   0.00 μB per formula unit

It is B) that is the least stable of them.